1.
A relaxed structure of HfNbNO2. Source: Alexandria via LeMat-Bulk, functional PBE.

Cell: 3.9785 3.9785 4.2893 Å, 90.00 90.00 90.00°
Space group P4/mmm (No. 123)
One atom of each set of equivalent atoms:
1 Hf 0.0000 0.0000 0.0000 (multiplicity 1)
2 Nb 0.5000 0.5000 0.5000 (multiplicity 1)
3 N 0.0000 0.0000 0.5000 (multiplicity 1)
4 O 0.0000 0.5000 0.0000 (multiplicity 2)

Properties
crystal system = tetragonal
E_form (uncorrected) = -1191 meV/atom
ρ = 7.76 g/cm³
total moment = 0.400 μB per atom

=====

2.
A relaxed structure of Cs2KCoC6N6. Source: Alexandria via LeMat-Bulk, functional PBE.

Cell: 7.7771 8.1640 13.6189 Å, 90.00 124.60 90.00°
Space group P2_1/c (No. 14)
One atom of each set of equivalent atoms:
1 Cs 0.2307 0.0630 0.2493 (multiplicity 4)
2 K 0.0000 0.0000 0.5000 (multiplicity 2)
3 Co 0.5000 0.0000 0.0000 (multiplicity 2)
4 C 0.2718 0.1254 0.9691 (multiplicity 4)
5 C 0.3383 0.6912 0.4602 (multiplicity 4)
6 C 0.4094 0.0228 0.8403 (multiplicity 4)
7 N 0.1267 0.2026 0.9480 (multiplicity 4)
8 N 0.2357 0.6899 0.9347 (multiplicity 4)
9 N 0.3535 0.0399 0.7406 (multiplicity 4)

Properties
crystal system = monoclinic
E_form (uncorrected) = -181 meV/atom
ρ = 2.43 g/cm³
total moment = 0.012 μB per atom

=====

3.
A relaxed structure of Tb2Sc3In. Source: Alexandria via LeMat-Bulk, functional PBE.

Cell: 3.2914 5.8483 17.6013 Å, 90.00 90.00 90.00°
Space group Immm (No. 71)
One atom of each set of equivalent atoms:
1 Tb 0.0000 0.0000 0.1999 (multiplicity 4)
2 Sc 0.0000 0.5000 0.1351 (multiplicity 4)
3 Sc 0.0000 0.5000 0.5000 (multiplicity 2)
4 In 0.0000 0.0000 0.5000 (multiplicity 2)

Properties
crystal system = orthorhombic
formation energy = 204 meV per atom
ρ = 5.56 g/cm³
total moment = 0.035 μB per atom
relative energy among the computed polymorphs = 32.9 kJ/mol of atoms

=====

4.
A relaxed structure of RbMn2OsI. Source: Alexandria via LeMat-Bulk, functional PBE.

Cell: 4.9244 4.9244 5.8485 Å, 90.00 90.00 90.00°
Space group P4/mmm (No. 123)
One atom of each set of equivalent atoms:
1 Rb 0.0000 0.0000 0.0000 (multiplicity 1)
2 Mn 0.0000 0.5000 0.5000 (multiplicity 2)
3 Os 0.5000 0.5000 0.5000 (multiplicity 1)
4 I 0.5000 0.5000 0.0000 (multiplicity 1)

Properties
crystal system = tetragonal
E_form (uncorrected) = 748 meV/atom
ρ = 6.00 g/cm³
total moment = 1.699 μB per atom

=====

5.
A relaxed structure of MoPbI2N. Source: Alexandria via LeMat-Bulk, functional PBE.

Cell: 6.0682 6.0682 3.9146 Å, 90.00 90.00 90.00°
Space group P4/mmm (No. 123)
One atom of each set of equivalent atoms:
1 Mo 0.0000 0.0000 0.0000 (multiplicity 1)
2 Pb 0.5000 0.5000 0.5000 (multiplicity 1)
3 I 0.0000 0.5000 0.0000 (multiplicity 2)
4 N 0.0000 0.0000 0.5000 (multiplicity 1)

Properties
crystal system = tetragonal
E_form (uncorrected) = 265 meV/atom
ρ = 6.58 g/cm³
total moment = 0.396 μB per atom
relative energy among the computed polymorphs = 0.0 kJ/mol of atoms

=====

6.
A relaxed structure of Pu3Ga2Si4. Source: Alexandria via LeMat-Bulk, functional PBE.

Cell: 10.6551 4.1234 8.1555 Å, 90.00 102.74 90.00°
Space group C2/m (No. 12)
One atom of each set of equivalent atoms:
1 Pu 0.0000 0.0000 0.0000 (multiplicity 2)
2 Pu 0.1626 0.5000 0.6743 (multiplicity 4)
3 Ga 0.1126 0.5000 0.2775 (multiplicity 4)
4 Si 0.0646 0.0000 0.4003 (multiplicity 4)
5 Si 0.2234 0.5000 0.0534 (multiplicity 4)

Properties
crystal system = monoclinic
E_form (uncorrected) = -424 meV/atom
ρ = 9.35 g/cm³
total moment = 0.610 μB per atom

=====

Question: total moment of number 1 (HfNbNO2)?
Answer: 0.400 μB per atom

=====

Question: Among the records above, which one has the highest ρ?
Answer: Pu3Ga2Si4

=====

Question: The lowest ρ belongs to which entry?
Answer: Cs2KCoC6N6